1.
{"formula": "Sr2YHg", "functional": "meta-GGA SCAN", "state": "PBEsol geometry", "lattice_angstrom": [[3.8275, 0.0000, 0.0000], [0.0000, 3.8275, 0.0000], [0.0000, 0.0000, 9.8975]], "species": ["Sr", "Sr", "Y", "Hg"], "frac_coords": [[0.0000, 0.0000, 0.0000], [0.5000, 0.5000, 0.3440], [0.0000, 0.0000, 0.6341], [0.5000, 0.5000, 0.7842]]}



2.
{"formula": "SrY2Hg", "functional": "meta-GGA SCAN", "state": "PBEsol geometry", "lattice_angstrom": [[7.7886, 0.0000, 0.0000], [0.0000, 7.7886, 0.0000], [0.0000, 0.0000, 7.7886]], "species": ["Sr", "Sr", "Sr", "Sr", "Y", "Y", "Y", "Y", "Y", "Y", "Y", "Y", "Hg", "Hg", "Hg", "Hg"], "frac_coords": [[0.0000, 0.0000, 0.0000], [0.0000, 0.5000, 0.5000], [0.5000, 0.0000, 0.5000], [0.5000, 0.5000, 0.0000], [0.0000, 0.0000, 0.5000], [0.0000, 0.5000, 0.0000], [0.2500, 0.2500, 0.2500], [0.2500, 0.7500, 0.7500], [0.5000, 0.0000, 0.0000], [0.5000, 0.5000, 0.5000], [0.7500, 0.2500, 0.7500], [0.7500, 0.7500, 0.2500], [0.2500, 0.2500, 0.7500], [0.2500, 0.7500, 0.2500], [0.7500, 0.2500, 0.2500], [0.7500, 0.7500, 0.7500]]}



3.
{"formula": "SrYHg2", "functional": "meta-GGA SCAN", "state": "PBEsol geometry", "lattice_angstrom": [[4.1802, 0.0000, 0.0000], [0.0000, 4.1802, 0.0000], [0.0000, 0.0000, 6.7156]], "species": ["Sr", "Y", "Hg", "Hg"], "frac_coords": [[0.0000, 0.0000, 0.0000], [0.5000, 0.5000, 0.3781], [0.0000, 0.0000, 0.5110], [0.5000, 0.5000, 0.8195]]}



4.
{"formula": "SrY2Hg", "functional": "meta-GGA SCAN", "state": "PBEsol geometry", "lattice_angstrom": [[3.7068, 0.0000, 0.0000], [0.0000, 5.5969, 0.0000], [0.0000, 0.0000, 11.9534]], "species": ["Sr", "Sr", "Y", "Y", "Y", "Y", "Hg", "Hg"], "frac_coords": [[0.0000, 0.0000, 0.0000], [0.5000, 0.5000, 0.5000], [0.0000, 0.5000, 0.2080], [0.0000, 0.5000, 0.7920], [0.5000, 0.0000, 0.2920], [0.5000, 0.0000, 0.7080], [0.0000, 0.0000, 0.5000], [0.5000, 0.5000, 0.0000]]}



5.
{"formula": "Sr2ZnHg", "functional": "meta-GGA SCAN", "state": "PBEsol geometry", "lattice_angstrom": [[7.9019, 0.0000, 0.0000], [0.0000, 4.5401, 0.0000], [-2.6117, 0.0000, 7.6333]], "species": ["Sr", "Sr", "Sr", "Sr", "Zn", "Zn", "Hg", "Hg"], "frac_coords": [[0.2480, 0.0000, 0.2441], [0.2520, 0.5000, 0.7559], [0.7480, 0.5000, 0.2441], [0.7520, 0.0000, 0.7559], [0.0000, 0.5000, 0.0000], [0.5000, 0.0000, 0.0000], [0.0000, 0.0000, 0.5000], [0.5000, 0.5000, 0.5000]], "de_polymorph_kj_per_mol_atoms": 13.03}



6.
{"formula": "SrZn2Hg2", "functional": "meta-GGA SCAN", "state": "PBEsol geometry", "lattice_angstrom": [[4.3526, 0.0000, 0.0000], [0.0000, 4.3526, 0.0000], [0.0000, 0.0000, 11.9972]], "species": ["Sr", "Sr", "Zn", "Zn", "Zn", "Zn", "Hg", "Hg", "Hg", "Hg"], "frac_coords": [[0.0000, 0.0000, 0.0000], [0.5000, 0.5000, 0.5000], [0.0000, 0.5000, 0.2500], [0.0000, 0.5000, 0.7500], [0.5000, 0.0000, 0.2500], [0.5000, 0.0000, 0.7500], [0.0000, 0.0000, 0.3808], [0.0000, 0.0000, 0.6192], [0.5000, 0.5000, 0.1192], [0.5000, 0.5000, 0.8808]]}



7.
{"formula": "SrZnHg", "functional": "meta-GGA SCAN", "state": "PBEsol geometry", "lattice_angstrom": [[3.7917, 0.0000, 0.0000], [0.0000, 3.7917, 0.0000], [0.0000, 0.0000, 10.4187]], "species": ["Sr", "Sr", "Zn", "Zn", "Hg", "Hg"], "frac_coords": [[0.0000, 0.0000, 0.0000], [0.5000, 0.5000, 0.5000], [0.0000, 0.0000, 0.3131], [0.5000, 0.5000, 0.8131], [0.0000, 0.0000, 0.6896], [0.5000, 0.5000, 0.1896]]}



8.
{"formula": "Sr2ZnHg", "functional": "meta-GGA SCAN", "state": "PBEsol geometry", "lattice_angstrom": [[5.4781, 0.0000, 0.0000], [0.0000, 5.4781, 0.0000], [0.0000, 0.0000, 3.8772]], "species": ["Sr", "Sr", "Zn", "Hg"], "frac_coords": [[0.0000, 0.5000, 0.0000], [0.5000, 0.0000, 0.0000], [0.0000, 0.0000, 0.5000], [0.5000, 0.5000, 0.5000]], "de_polymorph_kj_per_mol_atoms": 0.03}



9.
{"formula": "SrZn2Hg", "functional": "meta-GGA SCAN", "state": "PBEsol geometry", "lattice_angstrom": [[4.3650, 0.0000, 0.0000], [0.0000, 5.3384, 0.0000], [0.0000, 0.0000, 7.8032]], "species": ["Sr", "Sr", "Zn", "Zn", "Zn", "Zn", "Hg", "Hg"], "frac_coords": [[0.0000, 0.0000, 0.0000], [0.5000, 0.5000, 0.5000], [0.0000, 0.0000, 0.5319], [0.0000, 0.5000, 0.2079], [0.5000, 0.0000, 0.7079], [0.5000, 0.5000, 0.0319], [0.0000, 0.5000, 0.7904], [0.5000, 0.0000, 0.2904]]}



10.
{"formula": "SrZnHg", "functional": "meta-GGA SCAN", "state": "PBEsol geometry", "lattice_angstrom": [[4.6847, 0.0000, 0.0000], [-2.3423, 4.0570, 0.0000], [0.0000, 0.0000, 4.0729]], "species": ["Sr", "Zn", "Hg"], "frac_coords": [[0.0000, 0.0000, 0.0000], [0.6667, 0.3333, 0.5000], [0.3333, 0.6667, 0.5000]]}



11.
{"formula": "Sr2ZnHg", "functional": "meta-GGA SCAN", "state": "PBEsol geometry", "lattice_angstrom": [[7.7398, 0.0000, 0.0000], [0.0000, 7.7398, 0.0000], [0.0000, 0.0000, 7.7398]], "species": ["Sr", "Sr", "Sr", "Sr", "Sr", "Sr", "Sr", "Sr", "Zn", "Zn", "Zn", "Zn", "Hg", "Hg", "Hg", "Hg"], "frac_coords": [[0.2500, 0.2500, 0.2500], [0.2500, 0.2500, 0.7500], [0.2500, 0.7500, 0.2500], [0.2500, 0.7500, 0.7500], [0.7500, 0.2500, 0.2500], [0.7500, 0.2500, 0.7500], [0.7500, 0.7500, 0.2500], [0.7500, 0.7500, 0.7500], [0.0000, 0.0000, 0.0000], [0.0000, 0.5000, 0.5000], [0.5000, 0.0000, 0.5000], [0.5000, 0.5000, 0.0000], [0.0000, 0.0000, 0.5000], [0.0000, 0.5000, 0.0000], [0.5000, 0.0000, 0.0000], [0.5000, 0.5000, 0.5000]], "de_polymorph_kj_per_mol_atoms": 0.00}



12.
{"formula": "SrZn2Hg", "functional": "meta-GGA SCAN", "state": "PBEsol geometry", "lattice_angstrom": [[4.4478, 0.0000, 0.0000], [-2.2239, 3.8519, 0.0000], [0.0000, 0.0000, 16.5308]], "species": ["Sr", "Sr", "Sr", "Zn", "Zn", "Zn", "Zn", "Zn", "Zn", "Hg", "Hg", "Hg"], "frac_coords": [[0.0000, 0.0000, 0.0000], [0.3333, 0.6667, 0.6667], [0.6667, 0.3333, 0.3333], [0.0000, 0.0000, 0.4748], [0.0000, 0.0000, 0.7975], [0.3333, 0.6667, 0.1415], [0.3333, 0.6667, 0.4641], [0.6667, 0.3333, 0.1308], [0.6667, 0.3333, 0.8082], [0.0000, 0.0000, 0.2058], [0.3333, 0.6667, 0.8725], [0.6667, 0.3333, 0.5392]]}



13.
{"formula": "TaHg5", "functional": "meta-GGA SCAN", "state": "PBEsol geometry", "lattice_angstrom": [[2.9744, 0.0000, 0.0000], [0.0000, 2.9744, 0.0000], [0.0000, 0.0000, 14.2613]], "species": ["Ta", "Hg", "Hg", "Hg", "Hg", "Hg"], "frac_coords": [[0.0000, 0.0000, 0.0000], [0.0000, 0.0000, 0.3227], [0.0000, 0.0000, 0.6773], [0.5000, 0.5000, 0.1467], [0.5000, 0.5000, 0.5000], [0.5000, 0.5000, 0.8533]]}



14.
{"formula": "TaHg3", "functional": "meta-GGA SCAN", "state": "PBEsol geometry", "lattice_angstrom": [[2.9838, 0.0000, 0.0000], [0.0000, 4.2966, 0.0000], [0.0000, 0.0000, 6.1893]], "species": ["Ta", "Hg", "Hg", "Hg"], "frac_coords": [[0.0000, 0.0000, 0.0000], [0.0000, 0.0000, 0.5000], [0.5000, 0.5000, 0.2352], [0.5000, 0.5000, 0.7648]]}



15.
{"formula": "Ta3Hg", "functional": "meta-GGA SCAN", "state": "PBEsol geometry", "lattice_angstrom": [[4.1463, 0.0000, 0.0000], [0.0000, 4.1463, 0.0000], [0.0000, 0.0000, 4.1463]], "species": ["Ta", "Ta", "Ta", "Hg"], "frac_coords": [[0.0000, 0.0000, 0.5000], [0.0000, 0.5000, 0.0000], [0.5000, 0.0000, 0.0000], [0.5000, 0.5000, 0.5000]]}



no.,DFT formation energy (eV per atom)
1,-0.320
2,0.006
3,-0.478
4,-0.326
5,-0.319
6,-0.369
7,-0.333
8,-0.453
9,-0.198
10,-0.511
11,-0.454
12,-0.330
13,0.268
14,0.475
15,0.182